[1]
Below is a relaxed structure of InHg2Te3, with properties calculated at the PBE level.

Lattice parameters (Å, degrees): 4.8266 4.8266 11.5401 90.00 90.00 120.00
Fractional coordinates of all 6 atoms:
1 Te 0.6667 0.3333 0.5840
2 Te 0.3333 0.6667 0.9219
3 Te 0.0000 0.0000 0.2523
4 Hg 0.0000 0.0000 0.0006
5 Hg 0.6667 0.3333 0.3217
6 In 0.3333 0.6667 0.6696

Values from the calculation:
**Formation energy from raw total energies**: -0.153 eV/atom

=====

[2]
Below is a relaxed structure of NaAcEuZn, with properties calculated at the PBE level.

Lattice parameters (Å, degrees): 5.6944 5.6944 5.6944 60.00 60.00 60.00
Each line ends with the local moment (μB).
Fractional coordinates of all 4 atoms:
1 Na 0.5000 0.5000 0.5000  0.01
2 Eu 0.7500 0.7500 0.7500  6.92
3 Ac 0.2500 0.2500 0.2500  0.05
4 Zn 0.0000 0.0000 0.0000  0.00

Values from the calculation:
**Formation energy**: 11 kJ/mol of formula units

=====

[3]
Below is a relaxed structure of Na8B11C5, with properties calculated at the PBE level.

Lattice parameters (Å, degrees): 17.3860 17.3860 17.3860 170.73 162.97 19.43
Fractional coordinates of all 24 atoms:
1 C 0.7721 0.4376 0.3346
2 C 0.5236 0.1875 0.3361
3 C 0.7248 0.0616 0.6632
4 C 0.9766 0.3134 0.6632
5 C 0.2720 0.9374 0.3346
6 B 0.2140 0.5618 0.6523
7 B 0.1084 0.4375 0.6709
8 B 0.1334 0.8133 0.3202
9 B 0.6755 0.3133 0.3622
10 B 0.4239 0.0617 0.3622
11 B 0.6084 0.9375 0.6709
12 B 0.8248 0.1875 0.6373
13 B 0.8819 0.5617 0.3202
14 B 0.3671 0.6875 0.6796
15 B 0.4655 0.8132 0.6523
16 B 0.0341 0.6875 0.3466
17 Na 0.7503 0.7504 0.9999
18 Na 0.4982 0.4987 0.9995
19 Na 0.2501 0.2504 0.9997
20 Na 0.9969 0.9991 0.9978
21 Na 0.3737 0.3759 0.9978
22 Na 0.6245 0.6246 0.9999
23 Na 0.8758 0.8763 0.9995
24 Na 0.1243 0.1246 0.9997

Values from the calculation:
**Formation energy**: 266 kJ/mol of formula units
**Relative energy among the computed polymorphs**: 0.013 eV per atom

=====

[4]
Below is a relaxed structure of CsTlSn, with properties calculated at the PBE level.

Lattice parameters (Å, degrees): 13.5141 6.3664 6.1665 90.00 90.00 90.00
Fractional coordinates of all 12 atoms:
1 Cs 0.2499 0.2500 0.7496
2 Cs 0.7499 0.2500 0.7504
3 Cs 0.7501 0.7500 0.2504
4 Cs 0.2501 0.7500 0.2496
5 Sn 0.4999 0.2500 0.0662
6 Sn 0.0001 0.7500 0.5662
7 Sn 0.9999 0.2500 0.4338
8 Sn 0.5001 0.7500 0.9338
9 Tl 0.5000 0.0000 0.5000
10 Tl 0.5000 0.5000 0.5000
11 Tl 0.0000 0.0000 0.0000
12 Tl 0.0000 0.5000 0.0000

Values from the calculation:
**Formation energy**: -10 kJ/mol of formula units

=====

[5]
Below is a relaxed structure of LiGe4Pb, with properties calculated at the PBE level.

Lattice parameters (Å, degrees): 5.6820 5.6820 5.6820 60.00 60.00 60.00
Fractional coordinates of all 6 atoms:
1 Ge 0.1221 0.6260 0.6260
2 Ge 0.6260 0.6260 0.1221
3 Ge 0.6260 0.6260 0.6260
4 Ge 0.6260 0.1221 0.6260
5 Pb 0.2500 0.2500 0.2500
6 Li 0.0000 0.0000 0.0000

Values from the calculation:
**Formation energy**: 68 kJ/mol of formula units

=====

[6]
Below is a relaxed structure of LaAs3, with properties calculated at the PBE level.

Lattice parameters (Å, degrees): 6.0193 6.0193 5.7145 90.00 90.00 103.58
Fractional coordinates of all 8 atoms:
1 As 0.1505 0.5284 0.2500
2 As 0.8804 0.8804 0.7500
3 As 0.5284 0.1505 0.2500
4 As 0.8495 0.4716 0.7500
5 As 0.4716 0.8495 0.7500
6 As 0.1196 0.1196 0.2500
7 La 0.3124 0.3124 0.7500
8 La 0.6876 0.6876 0.2500

Values from the calculation:
**Formation energy**: -247 kJ/mol of formula units